Crystalline Hf2TaMoF at its relaxed geometry, computed with PBE+U.

Cell and atoms, written as POSCAR:
```
Hf2TaMoF
1.0
5.3509 0.0000 0.0000
0.0000 5.3509 0.0000
0.0000 0.0000 3.9909
Hf Ta Mo F
2 1 1 1
direct
0.0000 0.5000 0.0000
0.5000 0.0000 0.0000
0.0000 0.0000 0.0000
0.5000 0.5000 0.5000
0.0000 0.0000 0.5000
```

Summary:
The space-group type is P4/mmm. The volume is 114.27 Å³/cell. Its size of the total moment is 0.6045 μB per atom. The electronic total energy comes out at -7.4832 eV/atom.